No. 1
Here is a geometry-optimized GaSi3O structure from the Alexandria database. Energies are from PBE-GGA.

Cell and atoms, written as POSCAR:
```
GaSi3O
1.0
4.730 0.000 0.000
0.000 4.730 0.000
0.000 0.000 4.730
Ga Si O
1 3 1
Direct
0.000 0.000 0.000
0.000 0.000 0.500
0.000 0.500 0.000
0.500 0.000 0.000
0.500 0.500 0.500
```

Computed properties:
* space-group type: Pm-3m, No. 221
* distance to the lowest polymorph of the same formula: 1.1067 eV per atom

---

No. 2
Here is a geometry-optimized GaSiO2 structure from the Alexandria database. Energies are from PBE-GGA.

Cell and atoms, written as POSCAR:
```
GaSiO2
1.0
0.000 2.826 2.826
2.826 0.000 2.826
2.826 2.826 0.000
Ga Si O
1 1 2
Direct
0.000 0.000 0.000
0.500 0.500 0.500
0.250 0.250 0.250
0.750 0.750 0.750
```

Computed properties:
* space-group type: Fm-3m, No. 225
* distance to the lowest polymorph of the same formula: 1.5096 eV per atom

---

No. 3
Here is a geometry-optimized GaSi3O structure from the Alexandria database. Energies are from PBE-GGA.

Cell and atoms, written as POSCAR:
```
GaSi3O
1.0
4.232 0.000 0.000
0.000 4.232 0.000
0.000 0.000 4.232
Ga Si O
1 3 1
Direct
0.000 0.000 0.000
0.000 0.500 0.500
0.500 0.000 0.500
0.500 0.500 0.000
0.500 0.500 0.500
```

Computed properties:
* space-group type: Pm-3m, No. 221
* distance to the lowest polymorph of the same formula: 0.0000 eV per atom

---

No. 4
Here is a geometry-optimized GaSiO2 structure from the Alexandria database. Energies are from PBE-GGA.

Cell and atoms, written as POSCAR:
```
GaSiO2
1.0
1.451 0.837 6.035
-1.451 0.837 6.035
0.000 -1.675 6.035
Ga Si O
1 1 2
Direct
0.000 0.000 0.000
0.500 0.500 0.500
0.392 0.392 0.392
0.608 0.608 0.608
```

Computed properties:
* space-group type: R-3m, No. 166
* distance to the lowest polymorph of the same formula: 0.3996 eV per atom

---

No. 5
Here is a geometry-optimized Ga3SiO structure from the Alexandria database. Energies are from PBE-GGA.

Cell and atoms, written as POSCAR:
```
Ga3SiO
1.0
4.372 0.000 0.000
0.000 4.372 0.000
0.000 0.000 4.372
Ga Si O
3 1 1
Direct
0.000 0.000 0.500
0.000 0.500 0.000
0.500 0.000 0.000
0.500 0.500 0.500
0.000 0.000 0.000
```

Computed properties:
* space-group type: Pm-3m, No. 221
* distance to the lowest polymorph of the same formula: 0.0000 eV per atom

---

No. 6
Here is a geometry-optimized Ga2Si2O7 structure from the Alexandria database. Energies are from PBE-GGA.

Cell and atoms, written as POSCAR:
```
Ga2Si2O7
1.0
4.786 0.000 0.000
0.000 9.516 0.000
-1.211 0.000 5.508
Ga Si O
4 4 14
Direct
0.153 0.183 0.352
0.153 0.317 0.852
0.847 0.683 0.148
0.847 0.817 0.648
0.348 0.600 0.667
0.348 0.900 0.167
0.652 0.100 0.833
0.652 0.400 0.333
0.096 0.702 0.501
0.096 0.798 0.001
0.201 0.507 0.846
0.201 0.993 0.346
0.397 0.208 0.689
0.397 0.292 0.189
0.500 0.000 0.000
0.500 0.500 0.500
0.603 0.708 0.811
0.603 0.792 0.311
0.799 0.007 0.654
0.799 0.493 0.154
0.904 0.202 0.999
0.904 0.298 0.499
```

Computed properties:
* space-group type: P2_1/c, No. 14

---

No. 7
Here is a geometry-optimized GaSiO2 structure from the Alexandria database. Energies are from PBE-GGA.

Cell and atoms, written as POSCAR:
```
GaSiO2
1.0
1.346 0.777 8.408
-1.346 0.777 8.408
0.000 -1.554 8.408
Ga Si O
1 1 2
Direct
0.000 0.000 0.000
0.500 0.500 0.500
0.131 0.131 0.131
0.869 0.869 0.869
```

Computed properties:
* space-group type: R-3m, No. 166
* distance to the lowest polymorph of the same formula: 0.0000 eV per atom

---

No. 8
Here is a geometry-optimized GaSi2O structure from the Alexandria database. Energies are from PBE-GGA.

Cell and atoms, written as POSCAR:
```
GaSi2O
1.0
0.000 3.007 3.007
3.007 0.000 3.007
3.007 3.007 0.000
Ga Si O
1 2 1
Direct
0.000 0.000 0.000
0.250 0.250 0.250
0.750 0.750 0.750
0.500 0.500 0.500
```

Computed properties:
* space-group type: Fm-3m, No. 225
* distance to the lowest polymorph of the same formula: 0.6393 eV per atom

---

no.,uncorrected formation energy (meV per atom)
1,1340
2,-205
3,233
4,-1315
5,-8
6,-2322
7,-1715
8,389